1.
Density functional theory data (PBE-GGA) for a relaxed structure of Ac2AuSe2O2.

Results
DOS at the Fermi energy, states/eV/f.u.: 4.90
SG: No. 164
E_form (uncorrected), meV per atom: -1994

a b c (Å): 4.247 4.247 12.148
angles (deg): 90.00 90.00 120.00
Sites, in units of the cell vectors:
Ac 0.667 0.333 0.369
Ac 0.333 0.667 0.631
Au 0.000 0.000 0.000
Se 0.000 0.000 0.804
Se 0.000 0.000 0.196
O 0.667 0.333 0.576
O 0.333 0.667 0.424

2.
Density functional theory data (PBE-GGA) for a relaxed structure of ZrTcRu4.

Results
DOS at the Fermi energy, states/eV/f.u.: 7.48
SG: No. 216
Calculated total energy, eV per atom: -9.2503

a b c (Å): 5.115 5.115 5.115
angles (deg): 60.00 60.00 60.00
Sites, in units of the cell vectors:
Zr 0.000 0.000 0.000
Tc 0.250 0.250 0.250
Ru 0.625 0.625 0.126
Ru 0.625 0.126 0.625
Ru 0.625 0.625 0.625
Ru 0.126 0.625 0.625

3.
Density functional theory data (PBE-GGA) for a relaxed structure of Sc2TlPt.

Results
DOS at the Fermi energy, states/eV/f.u.: 3.12
SG: No. 160
Calculated total energy, eV per atom: -5.8810

a b c (Å): 3.780 3.780 7.982
angles (deg): 76.30 76.30 60.00
Sites, in units of the cell vectors:
Sc 0.066 0.066 0.801
Sc 0.268 0.268 0.196
Tl 0.501 0.501 0.498
Pt 0.665 0.665 0.005

4.
Density functional theory data (PBE-GGA) for a relaxed structure of Mn2Ni2Pt.

Results
DOS at the Fermi energy, states/eV/f.u.: 5.12
SG: No. 127
Polymorph energy (0 for the lowest one), meV/atom: 0.0

a b c (Å): 6.742 6.742 2.667
angles (deg): 90.00 90.00 90.00
Sites, in units of the cell vectors:
Ni 0.185 0.685 0.500
Ni 0.685 0.815 0.500
Ni 0.815 0.315 0.500
Ni 0.315 0.185 0.500
Mn 0.394 0.894 0.000
Mn 0.894 0.606 0.000
Mn 0.606 0.106 0.000
Mn 0.106 0.394 0.000
Pt 0.000 0.000 0.000
Pt 0.500 0.500 0.000

5.
Density functional theory data (PBE-GGA) for a relaxed structure of SnSbC2.

Results
DOS at the Fermi energy, states/eV/f.u.: 1.83
SG: No. 122
Polymorph energy (0 for the lowest one), meV/atom: 0.0
E_form (uncorrected), meV per atom: 1196

a b c (Å): 5.167 5.167 6.346
angles (deg): 65.98 65.98 90.00
Sites, in units of the cell vectors:
Sb 0.000 0.000 0.000
Sb 0.750 0.250 0.500
C 0.625 0.125 0.250
C 0.125 0.625 0.250
C 0.375 0.375 0.750
C 0.875 0.875 0.750
Sn 0.500 0.500 0.000
Sn 0.250 0.750 0.500

6.
Density functional theory data (PBE-GGA) for a relaxed structure of RuPtCl.

Results
DOS at the Fermi energy, states/eV/f.u.: 3.85
SG: No. 107
Polymorph energy (0 for the lowest one), meV/atom: 92.3
E_form (uncorrected), meV per atom: 485

a b c (Å): 6.799 6.799 6.799
angles (deg): 155.30 155.30 35.22
Sites, in units of the cell vectors:
Cl 0.040 0.040 0.000
Pt 0.294 0.294 0.000
Ru 0.667 0.667 0.000